! PBE-GGA Pr2SbH, relaxed; values from VASP
! - Mass density: 6.4 Mg/m³
! - D(E_F): 5.155 states/eV per cell
! - Energy relative to the lowest polymorph listed for this composition: 22 meV per atom
&SYSTEM
  ibrav = 0, nat = 12, ntyp = 3
/
ATOMIC_SPECIES
Pr 140.91 Pr.upf
Sb 121.76 Sb.upf
H 1.01 H.upf
ATOMIC_POSITIONS angstrom
Pr 0.000 0.000 4.709
Pr 0.000 0.000 15.054
Pr 0.000 2.474 8.466
Pr 0.000 2.474 17.884
Pr 2.142 1.237 1.879
Pr 2.142 1.237 11.297
Sb 0.000 0.000 0.000
Sb 0.000 2.474 13.175
Sb 2.142 1.237 6.588
H 0.000 0.000 9.881
H 0.000 2.474 3.294
H 2.142 1.237 16.469
CELL_PARAMETERS angstrom
4.285 0.000 0.000
-2.142 3.711 0.000
0.000 0.000 19.763